Computed, not measured: an optimized crystal structure of LaYTa at the PBE level of DFT.

Structure (POSCAR):
```
LaYTa
1.0
-2.130 2.656 3.789
-3.604 -2.137 2.897
1.012 -1.212 4.843
La Ta Y
1 1 1
Cartesian
-2.361 -0.346 5.764
-3.541 -0.519 8.646
0.000 0.000 0.000
```

crystal system: cubic
ΔE_f: 0.89 eV per atom
E_tot: -0.504 Ry per atom